The following is a DFT calculation (PBE) of Tm2Se after structural relaxation.

## Properties
* size of the total moment: 3.99 μB per formula unit
* space-group type: Fd-3m, No. 227
* uncorrected energy: -20.5 eV/cell

a b c (Å): 8.748 8.748 8.748
angles (deg): 60.00 60.00 60.00
Site moments in Bohr magnetons follow the coordinates.
Element x y z (fractional)
1 Se 0.250 0.250 0.250  0.02
2 Se 0.500 0.500 0.500  0.02
3 Tm 0.375 0.375 0.375  0.80
4 Tm 0.875 0.375 0.375  0.80
5 Tm 0.375 0.875 0.375  0.81
6 Tm 0.375 0.375 0.875  0.79